## Mg2AlTlV (PBE)

Data for an optimized crystal structure of Mg2AlTlV. Values from VASP.

Calculated values
Formation energy from the elements, meV/atom: 1277.9
Total magnetization, μB per atom: 0.016
Symmetry: P4/mmm (123)
VASP energy, eV per atom: -2.4054

Structure (Quantum ESPRESSO input):
```
&SYSTEM
  ibrav = 0, nat = 5, ntyp = 4
/
ATOMIC_SPECIES
Mg 24.30 Mg.upf
Tl 204.38 Tl.upf
Al 26.98 Al.upf
V 50.94 V.upf
CELL_PARAMETERS angstrom
5.210 0.000 0.000
0.000 5.093 0.000
0.000 0.000 5.210
ATOMIC_POSITIONS crystal
Mg 0.000 0.000 0.500
Mg 0.500 0.000 0.000
Tl 0.000 0.000 0.000
Al 0.000 0.500 0.000
V 0.500 0.500 0.500
```

## LiOs2Au (PBE)

Data for an optimized crystal structure of LiOs2Au. Values from VASP.

Calculated values
Formation energy from the elements, meV/atom: 481.4
Total magnetization, μB per atom: 0.000
Symmetry: I4/mmm (139)
VASP energy, eV per atom: -6.4312
Excess energy over the best structure of this formula in the dataset, eV per atom: 0.347

Structure (Quantum ESPRESSO input):
```
&SYSTEM
  ibrav = 0, nat = 4, ntyp = 3
/
ATOMIC_SPECIES
Au 196.97 Au.upf
Li 6.94 Li.upf
Os 190.23 Os.upf
CELL_PARAMETERS angstrom
-0.255 4.642 -2.036
-1.819 0.477 -4.714
-1.361 -2.273 4.329
ATOMIC_POSITIONS crystal
Au 0.250 0.750 0.500
Li 0.750 0.250 0.500
Os 0.000 0.000 0.000
Os 0.500 0.500 0.000
```

## TaAl2W (PBE)

Data for an optimized crystal structure of TaAl2W. Values from VASP.

Calculated values
Formation energy from the elements, meV/atom: 27.5
Total magnetization, μB per atom: 0.000
Symmetry: R-3m (166)
VASP energy, eV per atom: -8.0452
Excess energy over the best structure of this formula in the dataset, eV per atom: 0.178

Structure (Quantum ESPRESSO input):
```
&SYSTEM
  ibrav = 0, nat = 4, ntyp = 3
/
ATOMIC_SPECIES
Al 26.98 Al.upf
W 183.84 W.upf
Ta 180.95 Ta.upf
CELL_PARAMETERS angstrom
-0.164 -1.793 9.172
2.529 -2.632 8.605
1.967 0.140 9.136
ATOMIC_POSITIONS crystal
Al 0.998 0.998 0.998
Al 0.502 0.502 0.502
W 0.250 0.250 0.250
Ta 0.750 0.750 0.750
```

## NaTl2AgH (PBE)

Data for an optimized crystal structure of NaTl2AgH. Values from VASP.

Calculated values
Total magnetization, μB per atom: 0.000
Symmetry: P4/mmm (123)
VASP energy, eV per atom: -2.3342

Structure (Quantum ESPRESSO input):
```
&SYSTEM
  ibrav = 0, nat = 5, ntyp = 4
/
ATOMIC_SPECIES
Na 22.99 Na.upf
Tl 204.38 Tl.upf
Ag 107.87 Ag.upf
H 1.01 H.upf
CELL_PARAMETERS angstrom
-1.447 -3.655 3.014
4.708 -1.463 0.486
0.469 2.654 3.444
ATOMIC_POSITIONS crystal
Na 0.000 0.000 0.500
Tl 0.000 0.500 0.000
Tl 0.500 0.000 0.000
Ag 0.500 0.500 0.500
H 0.000 0.000 0.000
```

## Li3ScNi (PBE)

Data for an optimized crystal structure of Li3ScNi. Values from VASP.

Calculated values
Formation energy from the elements, meV/atom: 1403.2
Total magnetization, μB per atom: 0.001
Symmetry: Pm-3m (221)
VASP energy, eV per atom: -2.1677
Excess energy over the best structure of this formula in the dataset, eV per atom: 1.048

Structure (Quantum ESPRESSO input):
```
&SYSTEM
  ibrav = 0, nat = 5, ntyp = 3
/
ATOMIC_SPECIES
Sc 44.96 Sc.upf
Ni 58.69 Ni.upf
Li 6.94 Li.upf
CELL_PARAMETERS angstrom
-2.406 -0.381 4.116
-3.632 -2.079 -2.315
1.974 -4.290 0.756
ATOMIC_POSITIONS crystal
Sc 0.000 0.000 0.000
Ni 0.500 0.500 0.500
Li 0.000 0.500 0.000
Li 0.000 0.000 0.500
Li 0.500 0.000 0.000
```

## DyEr2CuSe5 (PBE)

Data for an optimized crystal structure of DyEr2CuSe5. Values from VASP.

Calculated values
Raw formation energy, eV/atom: -1.502
Total magnetization, μB per atom: 0.000
Symmetry: Cmc2_1 (36)
VASP energy, eV per atom: -5.4182

Structure (Quantum ESPRESSO input):
```
&SYSTEM
  ibrav = 0, nat = 18, ntyp = 4
/
ATOMIC_SPECIES
Dy 162.50 Dy.upf
Er 167.26 Er.upf
Cu 63.55 Cu.upf
Se 78.96 Se.upf
CELL_PARAMETERS angstrom
-1.697 3.339 -1.288
-3.933 -6.291 -5.038
-8.581 -1.200 8.198
ATOMIC_POSITIONS crystal
Dy 0.808 0.615 0.510
Dy 0.192 0.385 0.010
Er 0.880 0.760 0.805
Er 0.107 0.214 0.683
Er 0.120 0.240 0.305
Er 0.893 0.786 0.183
Cu 0.564 0.128 0.957
Cu 0.436 0.872 0.457
Se 0.358 0.715 0.001
Se 0.683 0.366 0.840
Se 0.498 0.996 0.781
Se 0.289 0.578 0.680
Se 0.959 0.919 0.567
Se 0.642 0.285 0.501
Se 0.317 0.634 0.340
Se 0.502 0.004 0.281
Se 0.711 0.422 0.180
Se 0.041 0.081 0.067
```

## MgPdW3 (PBE)

Data for an optimized crystal structure of MgPdW3. Values from VASP.

Calculated values
Formation energy from the elements, meV/atom: 2129.5
Total magnetization, μB per atom: 0.000
Symmetry: Pm-3m (221)
VASP energy, eV per atom: -6.9999
Excess energy over the best structure of this formula in the dataset, eV per atom: 0.000

Structure (Quantum ESPRESSO input):
```
&SYSTEM
  ibrav = 0, nat = 5, ntyp = 3
/
ATOMIC_SPECIES
Mg 24.30 Mg.upf
Pd 106.42 Pd.upf
W 183.84 W.upf
CELL_PARAMETERS angstrom
-3.042 -3.076 -2.000
3.216 -0.985 -3.377
1.765 -3.505 2.705
ATOMIC_POSITIONS crystal
Mg 0.500 0.500 0.500
Pd 0.000 0.000 0.000
W 0.000 0.500 0.000
W 0.000 0.000 0.500
W 0.500 0.000 0.000
```

## SrMnOs2 (PBE)

Data for an optimized crystal structure of SrMnOs2. Values from VASP.

Calculated values
Formation energy from the elements, meV/atom: 971.2
Total magnetization, μB per atom: 0.880
Symmetry: Pmmm (47)
VASP energy, eV per atom: -7.3565
Excess energy over the best structure of this formula in the dataset, eV per atom: 0.693

Structure (Quantum ESPRESSO input):
```
&SYSTEM
  ibrav = 0, nat = 4, ntyp = 3
/
ATOMIC_SPECIES
Mn 54.94 Mn.upf
Os 190.23 Os.upf
Sr 87.62 Sr.upf
CELL_PARAMETERS angstrom
2.991 0.000 0.000
0.000 4.728 0.000
0.000 0.000 4.900
ATOMIC_POSITIONS crystal
Mn 0.000 0.500 0.500
Os 0.000 0.000 0.000
Os 0.500 0.500 0.000
Sr 0.500 0.000 0.500
```